[1]
Li2Ga2Ni: optimized geometry, PBE.

- energy (eV/cell) = -34.45
- space-group type = No. 63

The structure in CIF format:
```
data_Li2Ga2Ni
_symmetry_space_group_name_H-M 'P 1'
_symmetry_Int_Tables_number 1
_symmetry_space_group_name_Hall 'P 1'
_cell_length_a 7.934
_cell_length_b 7.934
_cell_length_c 4.120
_cell_angle_alpha 90.00
_cell_angle_beta 90.00
_cell_angle_gamma 148.65
loop_
_atom_site_label
_atom_site_type_symbol
_atom_site_fract_x
_atom_site_fract_y
_atom_site_fract_z
Li1 Li 0.056 0.944 0.750
Li2 Li 0.154 0.846 0.250
Li3 Li 0.846 0.154 0.750
Li4 Li 0.944 0.056 0.250
Ga1 Ga 0.246 0.754 0.750
Ga2 Ga 0.443 0.557 0.750
Ga3 Ga 0.557 0.443 0.250
Ga4 Ga 0.754 0.246 0.250
Ni1 Ni 0.342 0.658 0.250
Ni2 Ni 0.658 0.342 0.750
```



[2]
Li6Ga2Ni: optimized geometry, PBE.

- energy (eV/cell) = -24.79
- space-group type = No. 12

The structure in CIF format:
```
data_Li6Ga2Ni
_symmetry_space_group_name_H-M 'P 1'
_symmetry_Int_Tables_number 1
_symmetry_space_group_name_Hall 'P 1'
_cell_length_a 7.663
_cell_length_b 7.663
_cell_length_c 2.936
_cell_angle_alpha 94.56
_cell_angle_beta 94.56
_cell_angle_gamma 124.40
loop_
_atom_site_label
_atom_site_type_symbol
_atom_site_fract_x
_atom_site_fract_y
_atom_site_fract_z
Li1 Li 0.005 0.657 0.678
Li2 Li 0.196 0.196 0.851
Li3 Li 0.343 0.995 0.322
Li4 Li 0.657 0.005 0.678
Li5 Li 0.804 0.804 0.149
Li6 Li 0.995 0.343 0.322
Ga1 Ga 0.354 0.646 0.000
Ga2 Ga 0.646 0.354 0.000
Ni1 Ni 0.500 0.500 0.500
```



Question: Which of these has the highest energy?
Answer: Li6Ga2Ni